The following is a PBE-GGA calculation of an optimized crystal structure of ZrScSi, from Alexandria via LeMat-Bulk. Values from VASP.

Quantum ESPRESSO input file:
```
&SYSTEM
  ibrav = 0, nat = 3, ntyp = 3
/
ATOMIC_SPECIES
Zr 91.22 Zr.upf
Sc 44.96 Sc.upf
Si 28.09 Si.upf
ATOMIC_POSITIONS crystal
Zr 0.000 0.000 0.000
Sc 0.500 0.500 0.500
Si 0.750 0.750 0.750
CELL_PARAMETERS angstrom
-0.016 -3.678 2.606
3.840 -2.229 0.777
1.892 0.127 4.089
```

Values from the calculation:
E_form (uncorrected) = -432 meV/atom
Space-group type = F-43m (216)

The following is a PBE-GGA calculation of an optimized crystal structure of YAg2Sb, from Alexandria via LeMat-Bulk. Values from VASP.

Quantum ESPRESSO input file:
```
&SYSTEM
  ibrav = 0, nat = 4, ntyp = 3
/
ATOMIC_SPECIES
Y 88.91 Y.upf
Ag 107.87 Ag.upf
Sb 121.76 Sb.upf
ATOMIC_POSITIONS crystal
Y 0.749 0.249 0.500
Ag 0.253 0.753 0.500
Ag 0.003 0.003 0.000
Sb 0.495 0.495 0.000
CELL_PARAMETERS angstrom
5.054 -0.010 -0.056
0.021 5.054 0.056
-2.438 -2.622 3.567
```

Values from the calculation:
E_form (uncorrected) = -323 meV/atom
Space-group type = Imm2 (44)

The following is a PBE-GGA calculation of an optimized crystal structure of RbInC2, from Alexandria via LeMat-Bulk. Values from VASP.

Quantum ESPRESSO input file:
```
&SYSTEM
  ibrav = 0, nat = 8, ntyp = 3
/
ATOMIC_SPECIES
Rb 85.47 Rb.upf
C 12.01 C.upf
In 114.82 In.upf
ATOMIC_POSITIONS crystal
Rb 0.500 0.500 0.000
Rb 0.250 0.750 0.500
C 0.875 0.125 0.250
C 0.375 0.125 0.750
C 0.875 0.625 0.250
C 0.875 0.125 0.750
In 0.000 0.000 0.000
In 0.750 0.250 0.500
CELL_PARAMETERS angstrom
-3.987 -0.351 -2.872
2.418 -3.090 -2.978
-3.128 -7.355 1.018
```

Values from the calculation:
Energy of formation from the pure elements = 1.8681 eV per atom
Space-group type = I4_1/amd (141)

The following is a PBE-GGA calculation of an optimized crystal structure of Ba8PSe3I4, from Alexandria via LeMat-Bulk. Values from VASP.

Quantum ESPRESSO input file:
```
&SYSTEM
  ibrav = 0, nat = 16, ntyp = 4
/
ATOMIC_SPECIES
Ba 137.33 Ba.upf
Se 78.96 Se.upf
P 30.97 P.upf
I 126.90 I.upf
ATOMIC_POSITIONS crystal
Ba 0.738 0.715 0.476
Ba 0.768 0.290 0.022
Ba 0.262 0.285 0.524
Ba 0.254 0.290 0.022
Ba 0.232 0.710 0.978
Ba 0.768 0.290 0.536
Ba 0.232 0.710 0.464
Ba 0.746 0.710 0.978
Se 0.500 0.500 0.500
Se 0.500 0.500 0.000
Se 0.000 0.500 0.500
P 0.000 0.500 0.000
I 0.500 0.000 0.500
I 0.500 0.000 0.000
I 0.000 0.000 0.500
I 0.000 0.000 0.000
CELL_PARAMETERS angstrom
9.544 0.000 0.000
0.000 9.878 0.230
-4.772 -4.769 6.750
```

Values from the calculation:
E_form (uncorrected) = -1653 meV/atom
Space-group type = R-3m (166)

The following is a PBE-GGA calculation of an optimized crystal structure of K2NaTl4Hg3, from Alexandria via LeMat-Bulk. Values from VASP.

Quantum ESPRESSO input file:
```
&SYSTEM
  ibrav = 0, nat = 10, ntyp = 4
/
ATOMIC_SPECIES
Hg 200.59 Hg.upf
Tl 204.38 Tl.upf
K 39.10 K.upf
Na 22.99 Na.upf
ATOMIC_POSITIONS crystal
Hg 0.000 0.500 0.140
Hg 0.000 0.000 0.500
Hg 0.500 0.000 0.860
Tl 0.000 0.000 0.000
Tl 0.500 0.000 0.640
Tl 0.500 0.500 0.000
Tl 0.000 0.500 0.360
K 0.500 0.000 0.240
K 0.000 0.500 0.760
Na 0.500 0.500 0.500
CELL_PARAMETERS angstrom
-0.180 1.230 4.864
-3.012 -3.919 0.879
10.814 -7.782 2.369
```

Values from the calculation:
Energy of formation from the pure elements = -0.1107 eV per atom
Space-group type = P-4m2 (115)

The following is a PBE-GGA calculation of an optimized crystal structure of Tb2Nd3Ho3, from Alexandria via LeMat-Bulk. Values from VASP.

Quantum ESPRESSO input file:
```
&SYSTEM
  ibrav = 0, nat = 8, ntyp = 3
/
ATOMIC_SPECIES
Ho 164.93 Ho.upf
Nd 144.24 Nd.upf
Tb 158.93 Tb.upf
ATOMIC_POSITIONS crystal
Ho 0.132 0.580 0.264
Ho 0.868 0.420 0.736
Ho 0.000 0.000 0.000
Nd 0.500 0.500 0.000
Nd 0.365 0.803 0.730
Nd 0.635 0.197 0.270
Tb 0.250 0.181 0.500
Tb 0.750 0.819 0.500
CELL_PARAMETERS angstrom
-4.984 -2.848 0.375
2.218 -4.351 -3.560
4.023 -0.223 7.646
```

Values from the calculation:
Energy of formation from the pure elements = 0.0883 eV per atom
Distance to the lowest polymorph of the same formula = 69 meV/atom
Space-group type = C2/m (12)

The following is a PBE-GGA calculation of an optimized crystal structure of BeAg2Ir, from Alexandria via LeMat-Bulk. Values from VASP.

Quantum ESPRESSO input file:
```
&SYSTEM
  ibrav = 0, nat = 4, ntyp = 3
/
ATOMIC_SPECIES
Be 9.01 Be.upf
Ag 107.87 Ag.upf
Ir 192.22 Ir.upf
ATOMIC_POSITIONS crystal
Be 0.750 0.750 0.750
Ag 0.009 0.009 0.009
Ag 0.491 0.491 0.491
Ir 0.250 0.250 0.250
CELL_PARAMETERS angstrom
-3.433 0.002 -8.279
-1.378 -1.809 -8.669
-3.807 -2.670 -7.662
```

Values from the calculation:
Energy of formation from the pure elements = 0.2905 eV per atom
Space-group type = R-3m (166)

The following is a PBE-GGA calculation of an optimized crystal structure of Eu3Er, from Alexandria via LeMat-Bulk. Values from VASP.

Quantum ESPRESSO input file:
```
&SYSTEM
  ibrav = 0, nat = 4, ntyp = 2
/
ATOMIC_SPECIES
Eu 151.96 Eu.upf
Er 167.26 Er.upf
ATOMIC_POSITIONS crystal
Eu 0.500 0.000 0.500
Eu 0.000 0.500 0.500
Eu 0.500 0.500 0.000
Er 0.000 0.000 0.000
CELL_PARAMETERS angstrom
-4.191 -0.725 3.220
-2.308 -3.077 -3.697
2.359 -4.297 2.104
```

Values from the calculation:
Energy of formation from the pure elements = 0.0993 eV per atom
Distance to the lowest polymorph of the same formula = 8 meV/atom
Space-group type = Pm-3m (221)

Energy in Ry per atom, matching the order above: -0.5292, -0.3231, -0.2698, -0.2935, -0.1102, -0.3362, -0.3147, -0.6429
Total magnetic moment in μB per cell, matching the order above: 0.000, 0.000, 0.000, 0.000, 0.000, 0.000, 0.061, 22.659